1 | {
  "formula": "LuMgGaPd",
  "functional": "GGA-PBE",
  "state": "relaxed",
  "lattice_angstrom": [[0.000, 3.316, 3.316], [3.316, 0.000, 3.316], [3.316, 3.316, 0.000]],
  "species": ["Lu", "Pd", "Ga", "Mg"],
  "fractional_positions": [[0.500, 0.500, 0.500], [0.000, 0.000, 0.000], [0.250, 0.250, 0.250], [0.750, 0.750, 0.750]],
  "volume_a3_per_atom": 18.24
}

***

2 | {
  "formula": "LuMgGaPd",
  "functional": "GGA-PBE",
  "state": "relaxed",
  "lattice_angstrom": [[0.000, 3.320, 3.320], [3.320, 0.000, 3.320], [3.320, 3.320, 0.000]],
  "species": ["Ga", "Mg", "Pd", "Lu"],
  "fractional_positions": [[0.000, 0.000, 0.000], [0.750, 0.750, 0.750], [0.250, 0.250, 0.250], [0.500, 0.500, 0.500]],
  "volume_a3_per_atom": 18.29
}

***

Of them, 1 has the lowest stability.

***

1 | {
  "formula": "LuGaNiMo",
  "functional": "GGA-PBE",
  "state": "relaxed",
  "lattice_angstrom": [[0.600, -3.349, -3.087], [-1.628, -4.214, 0.836], [-3.587, -1.592, -2.388]],
  "species": ["Ga", "Lu", "Ni", "Mo"],
  "fractional_positions": [[0.000, 0.000, 0.000], [0.250, 0.250, 0.250], [0.750, 0.750, 0.750], [0.500, 0.500, 0.500]],
  "volume_a3_per_atom": 17.14
}

***

2 | {
  "formula": "LuGaNiMo",
  "functional": "GGA-PBE",
  "state": "relaxed",
  "lattice_angstrom": [[0.000, 3.191, 3.191], [3.191, 0.000, 3.191], [3.191, 3.191, 0.000]],
  "species": ["Ni", "Lu", "Ga", "Mo"],
  "fractional_positions": [[0.750, 0.750, 0.750], [0.500, 0.500, 0.500], [0.000, 0.000, 0.000], [0.250, 0.250, 0.250]],
  "volume_a3_per_atom": 16.25
}

***

Of them, 1 has the lowest stability.

***

1 | {
  "formula": "LuGaNO",
  "functional": "GGA-PBE",
  "state": "relaxed",
  "lattice_angstrom": [[-0.246, 2.660, -5.932], [-5.506, -4.387, -1.738], [-3.149, 3.312, 1.616]],
  "species": ["N", "N", "N", "N", "Lu", "Lu", "Lu", "Lu", "O", "O", "O", "O", "Ga", "Ga", "Ga", "Ga"],
  "fractional_positions": [[0.084, 0.871, 0.549], [0.584, 0.129, 0.549], [0.416, 0.871, 0.049], [0.916, 0.129, 0.049], [0.921, 0.143, 0.520], [0.579, 0.143, 0.020], [0.079, 0.857, 0.020], [0.421, 0.857, 0.520], [0.490, 0.581, 0.634], [0.990, 0.419, 0.634], [0.010, 0.581, 0.134], [0.510, 0.419, 0.134], [0.406, 0.351, 0.500], [0.906, 0.649, 0.500], [0.594, 0.649, 0.000], [0.094, 0.351, 0.000]],
  "volume_a3_per_atom": 14.29
}

***

2 | {
  "formula": "LuGaNO",
  "functional": "GGA-PBE",
  "state": "relaxed",
  "lattice_angstrom": [[-2.353, 2.971, 0.385], [3.377, 2.236, 3.380], [2.647, 2.669, -4.410]],
  "species": ["N", "N", "Ga", "Ga", "O", "O", "Lu", "Lu"],
  "fractional_positions": [[0.000, 0.369, 0.635], [0.000, 0.869, 0.365], [0.000, 0.997, 0.685], [0.000, 0.497, 0.315], [0.500, 0.900, 0.831], [0.500, 0.400, 0.169], [0.500, 0.488, 0.805], [0.500, 0.988, 0.195]],
  "volume_a3_per_atom": 14.55
}

***

Of them, 2 has the lowest stability.

***

1 | {
  "formula": "LuGaNO",
  "functional": "GGA-PBE",
  "state": "relaxed",
  "lattice_angstrom": [[-2.531, 1.608, 2.332], [-0.096, -3.173, 2.085], [5.640, 2.651, 4.293]],
  "species": ["O", "O", "Ga", "Ga", "N", "N", "Lu", "Lu"],
  "fractional_positions": [[0.750, 0.250, 0.000], [0.250, 0.750, 0.000], [0.750, 0.250, 0.500], [0.250, 0.750, 0.500], [0.250, 0.250, 0.640], [0.750, 0.750, 0.360], [0.250, 0.250, 0.137], [0.750, 0.750, 0.863]],
  "volume_a3_per_atom": 13.65
}

***

2 | {
  "formula": "LuGaNO",
  "functional": "GGA-PBE",
  "state": "relaxed",
  "lattice_angstrom": [[-3.713, -2.819, 1.002], [1.909, -1.002, 4.253], [-2.141, 3.451, 1.775]],
  "species": ["Lu", "Lu", "O", "O", "N", "N", "Ga", "Ga"],
  "fractional_positions": [[0.750, 0.250, 0.500], [0.250, 0.750, 0.500], [0.250, 0.750, 0.000], [0.750, 0.250, 0.000], [0.250, 0.250, 0.511], [0.750, 0.750, 0.489], [0.250, 0.250, 0.002], [0.750, 0.750, 0.998]],
  "volume_a3_per_atom": 12.59
}

***

Of them, 1 has the lowest stability.

***

1 | {
  "formula": "LuGaNiPd",
  "functional": "GGA-PBE",
  "state": "relaxed",
  "lattice_angstrom": [[1.162, -4.196, 1.340], [0.153, -1.013, 4.438], [-3.135, -2.761, 1.816]],
  "species": ["Lu", "Ni", "Ga", "Pd"],
  "fractional_positions": [[0.250, 0.250, 0.250], [0.750, 0.750, 0.750], [0.000, 0.000, 0.000], [0.500, 0.500, 0.500]],
  "volume_a3_per_atom": 16.71
}

***

2 | {
  "formula": "LuGaNiPd",
  "functional": "GGA-PBE",
  "state": "relaxed",
  "lattice_angstrom": [[3.063, -2.505, 2.161], [0.528, 0.433, 4.457], [-1.333, -3.307, 2.760]],
  "species": ["Ga", "Lu", "Pd", "Ni"],
  "fractional_positions": [[0.000, 0.000, 0.000], [0.500, 0.500, 0.500], [0.250, 0.250, 0.250], [0.750, 0.750, 0.750]],
  "volume_a3_per_atom": 16.21
}

***

Of them, 1 has the lowest stability.

***

1 | {
  "formula": "LuGaNiPt",
  "functional": "GGA-PBE",
  "state": "relaxed",
  "lattice_angstrom": [[1.510, 0.780, 4.239], [-1.179, 3.840, 2.174], [-2.900, -0.170, 3.525]],
  "species": ["Lu", "Pt", "Ni", "Ga"],
  "fractional_positions": [[0.250, 0.250, 0.250], [0.500, 0.500, 0.500], [0.750, 0.750, 0.750], [0.000, 0.000, 0.000]],
  "volume_a3_per_atom": 16.84
}

***

2 | {
  "formula": "LuGaNiPt",
  "functional": "GGA-PBE",
  "state": "relaxed",
  "lattice_angstrom": [[3.863, -2.098, 1.075], [-0.068, -3.606, 2.733], [0.878, -4.116, -1.662]],
  "species": ["Lu", "Ni", "Ga", "Pt"],
  "fractional_positions": [[0.500, 0.500, 0.500], [0.750, 0.750, 0.750], [0.000, 0.000, 0.000], [0.250, 0.250, 0.250]],
  "volume_a3_per_atom": 16.38
}

***

Of them, 1 has the lowest stability.

***

1 | {
  "formula": "Lu2Ga2O5",
  "functional": "GGA-PBE",
  "state": "relaxed",
  "lattice_angstrom": [[6.667, 0.000, 0.000], [0.000, 3.855, 0.000], [0.000, 0.000, 3.855]],
  "species": ["O", "O", "O", "O", "O", "Ga", "Ga", "Lu", "Lu"],
  "fractional_positions": [[0.766, 0.500, 0.000], [0.234, 0.000, 0.500], [0.500, 0.500, 0.500], [0.234, 0.500, 0.000], [0.766, 0.000, 0.500], [0.799, 0.500, 0.500], [0.201, 0.500, 0.500], [0.500, 0.000, 0.000], [0.000, 0.000, 0.000]],
  "volume_a3_per_atom": 11.01
}

***

2 | {
  "formula": "Lu2Ga2O5",
  "functional": "GGA-PBE",
  "state": "relaxed",
  "lattice_angstrom": [[-7.613, 3.005, -1.559], [-0.935, -3.303, -1.800], [-1.267, -1.470, 3.355]],
  "species": ["O", "O", "O", "O", "O", "Lu", "Lu", "Ga", "Ga"],
  "fractional_positions": [[0.149, 0.500, 0.000], [0.149, 0.000, 0.500], [0.851, 0.000, 0.500], [0.851, 0.500, 0.000], [0.500, 0.500, 0.500], [0.245, 0.500, 0.500], [0.755, 0.500, 0.500], [0.000, 0.000, 0.000], [0.500, 0.000, 0.000]],
  "volume_a3_per_atom": 13.91
}

***

Of them, 1 has the lowest stability.

***

1 | {
  "formula": "LuGaPdPt",
  "functional": "GGA-PBE",
  "state": "relaxed",
  "lattice_angstrom": [[-1.089, -4.132, 0.869], [2.822, 2.099, 2.578], [-6.779, 2.859, 5.092]],
  "species": ["Pt", "Pt", "Ga", "Ga", "Pd", "Pd", "Lu", "Lu"],
  "fractional_positions": [[0.667, 0.333, 0.667], [0.667, 0.333, 0.333], [0.000, 0.000, 0.254], [0.000, 0.000, 0.746], [0.333, 0.667, 0.162], [0.333, 0.667, 0.838], [0.667, 0.333, 0.000], [0.333, 0.667, 0.500]],
  "volume_a3_per_atom": 18.42
}

***

2 | {
  "formula": "LuGaPdPt",
  "functional": "GGA-PBE",
  "state": "relaxed",
  "lattice_angstrom": [[4.368, 0.000, 0.000], [-2.184, 3.783, 0.000], [0.000, 0.000, 8.909]],
  "species": ["Ga", "Ga", "Pd", "Pd", "Lu", "Lu", "Pt", "Pt"],
  "fractional_positions": [[0.000, 0.000, 0.004], [0.000, 0.000, 0.504], [0.667, 0.333, 0.413], [0.333, 0.667, 0.913], [0.333, 0.667, 0.248], [0.667, 0.333, 0.748], [0.333, 0.667, 0.585], [0.667, 0.333, 0.085]],
  "volume_a3_per_atom": 18.40
}

***

Of them, 1 has the lowest stability.

***

1 | {
  "formula": "RbLuGa",
  "functional": "GGA-PBE",
  "state": "relaxed",
  "lattice_angstrom": [[0.000, 3.789, 3.789], [3.789, 0.000, 3.789], [3.789, 3.789, 0.000]],
  "species": ["Ga", "Rb", "Lu"],
  "fractional_positions": [[0.250, 0.250, 0.250], [0.000, 0.000, 0.000], [0.750, 0.750, 0.750]],
  "volume_a3_per_atom": 36.27
}

***

2 | {
  "formula": "RbLuGa",
  "functional": "GGA-PBE",
  "state": "relaxed",
  "lattice_angstrom": [[0.000, 3.797, 3.797], [3.797, 0.000, 3.797], [3.797, 3.797, 0.000]],
  "species": ["Ga", "Lu", "Rb"],
  "fractional_positions": [[0.000, 0.000, 0.000], [0.250, 0.250, 0.250], [0.750, 0.750, 0.750]],
  "volume_a3_per_atom": 36.49
}

***

Of them, 1 has the lowest stability.

***

1 | {
  "formula": "LuGaRe",
  "functional": "GGA-PBE",
  "state": "relaxed",
  "lattice_angstrom": [[0.037, -4.356, -0.614], [1.357, -2.665, 3.227], [-2.899, -2.545, 2.117]],
  "species": ["Ga", "Lu", "Re"],
  "fractional_positions": [[0.000, 0.000, 0.000], [0.250, 0.250, 0.250], [0.750, 0.750, 0.750]],
  "volume_a3_per_atom": 20.07
}

***

2 | {
  "formula": "LuGaRe",
  "functional": "GGA-PBE",
  "state": "relaxed",
  "lattice_angstrom": [[0.000, 3.238, 3.238], [3.238, 0.000, 3.238], [3.238, 3.238, 0.000]],
  "species": ["Lu", "Re", "Ga"],
  "fractional_positions": [[0.000, 0.000, 0.000], [0.750, 0.750, 0.750], [0.250, 0.250, 0.250]],
  "volume_a3_per_atom": 22.64
}

***

Of them, 2 has the lowest stability.

***

1 | {
  "formula": "MgNbGaOs",
  "functional": "GGA-PBE",
  "state": "relaxed",
  "lattice_angstrom": [[4.127, -1.501, -0.839], [1.649, -3.432, 2.342], [0.577, -3.975, -1.964]],
  "species": ["Mg", "Ga", "Os", "Nb"],
  "fractional_positions": [[0.750, 0.750, 0.750], [0.250, 0.250, 0.250], [0.000, 0.000, 0.000], [0.500, 0.500, 0.500]],
  "volume_a3_per_atom": 15.80
}

***

2 | {
  "formula": "MgNbGaOs",
  "functional": "GGA-PBE",
  "state": "relaxed",
  "lattice_angstrom": [[4.461, -0.045, -0.011], [2.194, -3.800, 0.802], [2.202, -2.043, -3.298]],
  "species": ["Os", "Mg", "Ga", "Nb"],
  "fractional_positions": [[0.250, 0.250, 0.250], [0.750, 0.750, 0.750], [0.000, 0.000, 0.000], [0.500, 0.500, 0.500]],
  "volume_a3_per_atom": 15.69
}

***

Of them, 1 has the lowest stability.

***

1 | {
  "formula": "YMgGaPd",
  "functional": "GGA-PBE",
  "state": "relaxed",
  "lattice_angstrom": [[-4.259, -0.889, 1.923], [-3.390, 3.335, -0.085], [-3.806, -0.548, -2.800]],
  "species": ["Y", "Pd", "Ga", "Mg"],
  "fractional_positions": [[0.000, 0.000, 0.000], [0.250, 0.250, 0.250], [0.500, 0.500, 0.500], [0.750, 0.750, 0.750]],
  "volume_a3_per_atom": 19.02
}

***

2 | {
  "formula": "YMgGaPd",
  "functional": "GGA-PBE",
  "state": "relaxed",
  "lattice_angstrom": [[4.334, -2.022, 0.626], [0.450, -4.802, -0.046], [2.200, -2.181, -3.697]],
  "species": ["Y", "Mg", "Pd", "Ga"],
  "fractional_positions": [[0.250, 0.250, 0.250], [0.750, 0.750, 0.750], [0.500, 0.500, 0.500], [0.000, 0.000, 0.000]],
  "volume_a3_per_atom": 19.83
}

***

Of them, 1 has the lowest stability.